A relaxed structure of SrCeI6, computed with GGA-PBE.

- polymorph energy (0 for the lowest one) (kJ/mol of atoms) = 1.1
- formation energy from raw total energies (eV per atom) = -1.3102

Unit cell a=8.491 b=8.491 c=8.491 alpha=55.14 beta=55.14 gamma=55.14
Positions (direct):
Sr 0.000 0.000 0.000
Ce 0.500 0.500 0.500
I 0.096 0.729 0.432
I 0.271 0.568 0.904
I 0.432 0.096 0.729
I 0.568 0.904 0.271
I 0.729 0.432 0.096
I 0.904 0.271 0.568

A relaxed structure of ErMgHgRh, computed with GGA-PBE.

- energy of formation (eV per atom) = -0.49

Unit cell a=4.842 b=4.842 c=4.842 alpha=60.00 beta=60.00 gamma=60.00
Positions (direct):
Er 0.000 0.000 0.000
Mg 0.500 0.500 0.500
Hg 0.750 0.750 0.750
Rh 0.250 0.250 0.250

Repeat the second record exactly.
A relaxed structure of ErMgHgRh, computed with GGA-PBE.

- energy of formation (eV per atom) = -0.49

Unit cell a=4.842 b=4.842 c=4.842 alpha=60.00 beta=60.00 gamma=60.00
Positions (direct):
Er 0.000 0.000 0.000
Mg 0.500 0.500 0.500
Hg 0.750 0.750 0.750
Rh 0.250 0.250 0.250

Repeat the first record exactly.
A relaxed structure of SrCeI6, computed with GGA-PBE.

- polymorph energy (0 for the lowest one) (kJ/mol of atoms) = 1.1
- formation energy from raw total energies (eV per atom) = -1.3102

Unit cell a=8.491 b=8.491 c=8.491 alpha=55.14 beta=55.14 gamma=55.14
Positions (direct):
Sr 0.000 0.000 0.000
Ce 0.500 0.500 0.500
I 0.096 0.729 0.432
I 0.271 0.568 0.904
I 0.432 0.096 0.729
I 0.568 0.904 0.271
I 0.729 0.432 0.096
I 0.904 0.271 0.568